First-principles (PBE) data for an optimized crystal structure of Zn2Cd2Rh, as listed in Alexandria via LeMat-Bulk.

```
Zn2Cd2Rh
1.0
6.593 0.000 0.000
0.000 6.593 0.000
0.000 0.000 4.062
Zn Rh Cd
4 2 4
direct
0.363 0.863 0.000
0.863 0.637 0.000
0.637 0.137 0.000
0.137 0.363 0.000
0.000 0.000 0.000
0.500 0.500 0.000
0.173 0.673 0.500
0.673 0.827 0.500
0.827 0.327 0.500
0.327 0.173 0.500
```

## Properties
As for the space-group type: No. 127. The calculation puts the formation energy at 32 meV/atom. The electronic total energy is -23.137 eV per cell.